No. 1
12
Lattice="-3.3855 3.3855 3.0366 3.3855 -3.3855 3.0366 3.3855 3.3855 -3.0366" Properties=species:S:1:pos:R:3 comment="TmHfSi2O8, relaxed, DFT PBE-GGA" raw_formation_energy_ev_per_fu=-35.9 sg="I-4m2 (119)" pbc="T T T"
Tm 0.0000 0.0000 0.0000
Hf 3.3855 0.0000 1.5183
Si 0.0000 0.0000 3.0366
Si 0.0000 3.3855 1.5183
O 2.1009 3.3855 -1.0278
O 1.2846 0.0000 2.0088
O 0.0000 2.1776 0.4173
O 3.3855 2.1009 1.0278
O 0.0000 4.5934 0.4173
O 0.0000 1.2846 4.0644
O -1.2079 3.3855 2.6193
O 1.2079 3.3855 2.6193

No. 2
8
Lattice="-2.5392 2.5392 8.0398 2.5392 -2.5392 8.0398 2.5392 2.5392 -8.0398" Properties=species:S:1:pos:R:3 comment="SrMn2Cr, relaxed, DFT PBE-GGA" sg="I4_1/amd (141)" delta_e_f_mev_per_atom=828 relative_energy_mev_per_atom=394 pbc="T T T"
Sr 2.5392 1.2696 2.0100
Sr 0.0000 1.2696 6.0299
Mn 0.0000 0.0000 0.0000
Mn 1.2696 1.2696 -4.0199
Mn 1.2696 -1.2696 4.0199
Mn 0.0000 2.5392 0.0000
Cr 2.5392 -1.2696 6.0299
Cr 0.0000 3.8088 2.0100

No. 3
6
Lattice="4.9871 -1.7056 0.0000 4.9871 1.7056 0.0000 -2.5744 0.0000 6.0748" Properties=species:S:1:pos:R:3 comment="RhSe, relaxed, DFT PBE-GGA" raw_formation_energy_ev_per_fu=-0.2 sg="Cm (8)" pbc="T T T"
Rh 0.0000 0.0000 0.0000
Rh -1.1131 0.0000 3.5455
Rh 6.0893 0.0000 2.1227
Se 1.3548 0.0000 3.8302
Se 3.7164 0.0000 1.5180
Se 4.1091 0.0000 5.5512

No. 4
4
Lattice="5.3622 0.0000 0.0000 0.0000 5.3622 0.0000 0.0000 0.0000 3.8516" Properties=species:S:1:pos:R:3 comment="PmErMg2, relaxed, DFT PBE-GGA" sg="P4/mmm (123)" delta_e_f_mev_per_atom=-86 relative_energy_mev_per_atom=7 pbc="T T T"
Pm 0.0000 0.0000 0.0000
Er 2.6811 2.6811 0.0000
Mg 0.0000 2.6811 1.9258
Mg 2.6811 0.0000 1.9258

No. 5
4
Lattice="-1.5845 2.8882 4.3442 1.5845 -2.8882 4.3442 1.5845 2.8882 -4.3442" Properties=species:S:1:pos:R:3 comment="Sc2MoCl, relaxed, DFT PBE-GGA" raw_formation_energy_ev_per_fu=0.3 sg="Immm (71)" relative_energy_mev_per_atom=623 pbc="T T T"
Sc 0.0000 0.0000 2.0464
Sc 0.0000 0.0000 6.6420
Mo 0.0000 2.8882 0.0000
Cl 1.5845 0.0000 0.0000

No. 6
80
Lattice="-8.5771 8.5771 8.5771 8.5771 -8.5771 8.5771 8.5771 8.5771 -8.5771" Properties=species:S:1:pos:R:3 comment="Sr12Au3F5, relaxed, DFT PBE-GGA" raw_formation_energy_ev_per_fu=-31.9 sg="Ia-3d (230)" pbc="T T T"
Sr 2.6507 -0.5524 0.9941
Sr 10.2150 5.2826 -4.8410
Sr 11.2278 0.5524 0.9941
Sr 10.2150 -3.2945 4.8410
Sr 8.0248 -0.9941 2.6507
Sr 13.4181 -1.6379 3.2945
Sr 0.9941 2.6507 -0.5524
Sr 11.8716 3.7362 -1.6379
Sr 5.2826 4.8410 -1.6379
Sr 7.5831 2.6507 0.5524
Sr -0.5524 0.9941 2.6507
Sr 4.8410 -1.6379 5.2826
Sr 8.0248 7.5831 -2.6507
Sr 4.8410 1.6379 3.2945
Sr 5.2826 -4.8410 10.2150
Sr 7.5831 -2.6507 8.0248
Sr 3.2945 4.8410 1.6379
Sr 9.5712 5.9265 0.5524
Sr 4.8410 10.2150 -3.2945
Sr 8.0248 0.9941 5.9265
Sr 2.6507 8.0248 -0.9941
Sr 10.2150 3.2945 3.7362
Sr 1.6379 3.2945 4.8410
Sr 2.6507 0.5524 7.5831
Sr 5.9265 8.0248 0.9941
Sr 6.9393 5.2826 3.7362
Sr -1.6379 5.2826 4.8410
Sr 5.9265 0.5524 9.5712
Sr 0.5524 7.5831 2.6507
Sr 3.7362 -1.6379 11.8716
Sr -0.9941 2.6507 8.0248
Sr 5.2826 3.7362 6.9393
Sr 0.9941 11.2278 0.5524
Sr 3.2945 13.4181 -1.6379
Sr 3.7362 6.9393 5.2826
Sr 0.5524 0.9941 11.2278
Sr 3.7362 10.2150 3.2945
Sr 9.1295 7.5831 5.9265
Sr 0.9941 5.9265 8.0248
Sr 3.2945 3.7362 10.2150
Sr -3.2945 4.8410 10.2150
Sr 7.5831 5.9265 9.1295
Sr -4.8410 10.2150 5.2826
Sr 0.5524 9.5712 5.9265
Sr -1.6379 11.8716 3.7362
Sr -2.6507 8.0248 7.5831
Sr -1.6379 3.2945 13.4181
Sr 5.9265 9.1295 7.5831
Au 4.2886 2.1443 0.0000
Au 8.5771 4.2886 -2.1443
Au 2.1443 0.0000 4.2886
Au 10.7214 0.0000 4.2886
Au 0.0000 4.2886 2.1443
Au 4.2886 -2.1443 8.5771
Au 4.2886 10.7214 0.0000
Au 8.5771 4.2886 6.4329
Au -2.1443 8.5771 4.2886
Au 6.4329 8.5771 4.2886
Au 0.0000 4.2886 10.7214
Au 4.2886 6.4329 8.5771
F 0.0000 0.0000 0.0000
F 4.2886 4.2886 -4.2886
F 4.2886 -4.2886 4.2886
F 8.5771 0.0000 0.0000
F 12.8657 2.1443 0.0000
F 8.5771 -4.2886 6.4329
F 6.4329 8.5771 -4.2886
F 6.4329 0.0000 4.2886
F 4.2886 6.4329 0.0000
F 8.5771 4.2886 2.1443
F -4.2886 4.2886 4.2886
F 0.0000 8.5771 0.0000
F 0.0000 0.0000 8.5771
F 4.2886 4.2886 4.2886
F 0.0000 4.2886 6.4329
F 4.2886 2.1443 8.5771
F 2.1443 8.5771 4.2886
F 2.1443 0.0000 12.8657
F 0.0000 12.8657 2.1443
F -4.2886 6.4329 8.5771

No. 7
4
Lattice="1.4416 0.8323 8.6494 -1.4416 0.8323 8.6494 0.0000 -1.6646 8.6494" Properties=species:S:1:pos:R:3 comment="OsRh2Br, relaxed, DFT PBE-GGA" raw_formation_energy_ev_per_fu=2.7 sg="R3m (160)" relative_energy_mev_per_atom=200 pbc="T T T"
Os 0.0000 0.0000 0.0000
Rh 0.0000 0.0000 6.5988
Rh 0.0000 0.0000 13.0447
Br 0.0000 0.0000 19.5318

No. 8
5
Lattice="6.3672 0.0000 0.0000 0.0000 6.3672 0.0000 0.0000 0.0000 5.7662" Properties=species:S:1:pos:R:3 comment="RbNaTlBi2, relaxed, DFT PBE-GGA" sg="P4/mmm (123)" delta_e_f_mev_per_atom=649 relative_energy_mev_per_atom=868 pbc="T T T"
Rb 0.0000 0.0000 0.0000
Na 0.0000 0.0000 2.8831
Tl 3.1836 3.1836 2.8831
Bi 0.0000 3.1836 0.0000
Bi 3.1836 0.0000 0.0000

Number 1: raw total energy -8.405 eV per atom, total magnetic moment 0.5 μB/f.u.. Number 2: raw total energy -6.583 eV per atom, total magnetic moment 3.6 μB/f.u.. Number 3: raw total energy -5.524 eV per atom, total magnetic moment 0.0 μB/f.u.. Number 4: raw total energy -3.212 eV per atom, total magnetic moment 0.0 μB/f.u.. Number 5: raw total energy -6.259 eV per atom, total magnetic moment 0.0 μB/f.u.. Number 6: raw total energy -3.565 eV per atom, total magnetic moment 0.0 μB/f.u.. Number 7: raw total energy -6.231 eV per atom, total magnetic moment 0.0 μB/f.u.. Number 8: raw total energy -1.834 eV per atom, total magnetic moment 0.0 μB/f.u..